## P
Tc2IrPt: optimized geometry, PBE.

The structure in extended XYZ format:
```
4
Lattice="2.741 0.000 0.000 0.000 4.415 0.000 0.000 0.000 4.845" Properties=species:S:1:pos:R:3 pbc="T T T"
Tc 0.000 0.000 0.000
Tc 0.000 2.207 1.543
Ir 1.370 2.207 4.024
Pt 1.370 0.000 2.420
```

- Total magnetic moment: 0.0 μB/f.u.


## Q
Tc2IrPt: optimized geometry, PBE.

The structure in extended XYZ format:
```
16
Lattice="6.242 0.000 0.000 0.000 6.242 0.000 0.000 0.000 6.242" Properties=species:S:1:pos:R:3 pbc="T T T"
Tc 1.560 1.560 1.560
Tc 1.560 1.560 4.681
Tc 1.560 4.681 1.560
Tc 1.560 4.681 4.681
Tc 4.681 1.560 1.560
Tc 4.681 1.560 4.681
Tc 4.681 4.681 1.560
Tc 4.681 4.681 4.681
Ir 0.000 0.000 0.000
Ir 0.000 3.121 3.121
Ir 3.121 0.000 3.121
Ir 3.121 3.121 0.000
Pt 0.000 0.000 3.121
Pt 0.000 3.121 0.000
Pt 3.121 0.000 0.000
Pt 3.121 3.121 3.121
```

- Total magnetic moment: 0.0 μB/f.u.


Stability check: which of them is most stable? P.


## P
TcIr2Pt2: optimized geometry, PBE.

The structure in extended XYZ format:
```
10
Lattice="2.752 0.000 0.000 0.000 3.894 0.000 0.000 0.000 13.943" Properties=species:S:1:pos:R:3 pbc="T T T"
Tc 0.000 0.000 0.000
Tc 1.376 1.947 6.971
Ir 0.000 0.000 5.661
Ir 0.000 0.000 8.281
Ir 1.376 1.947 1.310
Ir 1.376 1.947 12.633
Pt 0.000 0.000 2.754
Pt 0.000 0.000 11.188
Pt 1.376 1.947 4.217
Pt 1.376 1.947 9.726
```

- Total magnetic moment: 0.0 μB/f.u.


## Q
TcIr2Pt2: optimized geometry, PBE.

The structure in extended XYZ format:
```
10
Lattice="6.677 0.000 0.000 0.000 6.677 0.000 0.000 0.000 3.619" Properties=species:S:1:pos:R:3 pbc="T T T"
Tc 0.000 0.000 0.000
Tc 3.338 3.338 0.000
Ir 0.879 2.459 0.000
Ir 2.459 5.797 0.000
Ir 4.218 0.879 0.000
Ir 5.797 4.218 0.000
Pt 1.117 4.455 1.810
Pt 2.221 1.117 1.810
Pt 4.455 5.560 1.810
Pt 5.560 2.221 1.810
```

- Total magnetic moment: 0.3 μB/f.u.


Stability check: which of them is most stable? P.


## P
Te4IrPt: optimized geometry, PBE.

The structure in extended XYZ format:
```
12
Lattice="-4.375 4.375 4.240 4.375 -4.375 4.240 4.375 4.375 -4.240" Properties=species:S:1:pos:R:3 pbc="T T T"
Te 4.375 1.673 -0.054
Te 2.702 4.375 -2.174
Te 1.673 0.000 2.066
Te 0.000 2.678 0.000
Te 0.000 6.071 0.000
Te 2.678 4.375 2.120
Te 1.696 0.000 6.361
Te 0.000 2.702 4.186
Ir 0.000 4.375 2.083
Ir 0.000 0.000 8.444
Pt 4.375 0.000 2.093
Pt 0.000 0.000 4.214
```

- Total magnetic moment: 0.0 μB/f.u.


## Q
Te4IrPt: optimized geometry, PBE.

The structure in extended XYZ format:
```
6
Lattice="5.376 0.000 0.000 0.000 4.054 0.000 -0.007 0.000 7.021" Properties=species:S:1:pos:R:3 pbc="T T T"
Te 1.337 0.000 1.124
Te 1.346 2.027 4.714
Te 4.022 2.027 2.307
Te 4.031 0.000 5.896
Ir 2.688 2.027 0.000
Pt 2.684 0.000 3.510
```

- Total magnetic moment: 0.0 μB/f.u.


Stability check: which of them is most stable? Q.


## P
TeIrPt: optimized geometry, PBE.

The structure in extended XYZ format:
```
12
Lattice="8.707 0.000 0.000 0.000 3.905 0.000 0.000 0.000 7.301" Properties=species:S:1:pos:R:3 pbc="T T T"
Te 1.677 0.000 0.000
Te 1.677 1.953 3.651
Te 7.030 0.000 0.000
Te 7.030 1.953 3.651
Ir 2.891 0.000 2.368
Ir 2.891 1.953 6.019
Ir 5.816 0.000 2.368
Ir 5.816 1.953 6.019
Pt 0.000 0.000 2.308
Pt 0.000 1.953 5.959
Pt 4.354 0.000 0.096
Pt 4.354 1.953 3.746
```

- Total magnetic moment: 0.0 μB/f.u.


## Q
TeIrPt: optimized geometry, PBE.

The structure in extended XYZ format:
```
6
Lattice="3.102 0.000 0.000 0.000 3.808 0.000 0.000 0.000 9.098" Properties=species:S:1:pos:R:3 pbc="T T T"
Te 0.000 0.000 0.000
Te 1.551 1.904 4.549
Ir 0.000 0.000 5.795
Ir 1.551 1.904 1.247
Pt 0.000 0.000 2.808
Pt 1.551 1.904 7.357
```

- Total magnetic moment: 0.0 μB/f.u.


## R
TeIrPt: optimized geometry, PBE.

The structure in extended XYZ format:
```
12
Lattice="2.956 0.000 0.000 0.000 5.166 0.000 0.000 0.000 14.397" Properties=species:S:1:pos:R:3 pbc="T T T"
Te 0.000 0.000 0.000
Te 0.000 2.583 7.199
Te 1.478 0.000 7.199
Te 1.478 2.583 0.000
Ir 0.000 0.000 9.490
Ir 0.000 2.583 2.291
Ir 1.478 0.000 2.291
Ir 1.478 2.583 9.490
Pt 0.000 0.000 4.592
Pt 0.000 2.583 11.791
Pt 1.478 0.000 11.791
Pt 1.478 2.583 4.592
```

- Total magnetic moment: 0.0 μB/f.u.


Stability check: which of them is most stable? P.